A relaxed structure of SiSnSe2. Source: Alexandria via LeMat-Bulk, functional GGA-PBE.

Results
As for the distance to the lowest polymorph of the same formula: 193 meV per atom. Its space-group type is I-42d, No. 122.

The structure in CIF format:
```
data_SiSnSe2
_chemical_formula_sum 'Si2 Sn2 Se4'
_symmetry_space_group_name_H-M 'P 1'
_symmetry_Int_Tables_number 1
_symmetry_space_group_name_Hall 'P 1'
_cell_length_a 7.323
_cell_length_b 7.323
_cell_length_c 6.382
_cell_angle_alpha 54.99
_cell_angle_beta 54.99
_cell_angle_gamma 90.00
loop_
_atom_site_label
_atom_site_fract_x
_atom_site_fract_y
_atom_site_fract_z
Sn1 0.750 0.250 0.500
Sn2 0.000 0.000 0.000
Se1 0.375 0.417 0.750
Se2 0.583 0.125 0.250
Se3 0.875 0.833 0.750
Se4 0.167 0.625 0.250
Si1 0.500 0.500 0.000
Si2 0.250 0.750 0.500
```

A relaxed structure of SiSnSe2. Source: Alexandria via LeMat-Bulk, functional GGA-PBE.

Results
As for the distance to the lowest polymorph of the same formula: 372 meV per atom. Its space-group type is Fm-3m, No. 225.

The structure in CIF format:
```
data_SiSnSe2
_chemical_formula_sum 'Si1 Sn1 Se2'
_symmetry_space_group_name_H-M 'P 1'
_symmetry_Int_Tables_number 1
_symmetry_space_group_name_Hall 'P 1'
_cell_length_a 4.977
_cell_length_b 4.977
_cell_length_c 4.977
_cell_angle_alpha 60.00
_cell_angle_beta 60.00
_cell_angle_gamma 60.00
loop_
_atom_site_label
_atom_site_fract_x
_atom_site_fract_y
_atom_site_fract_z
Se1 0.750 0.750 0.750
Se2 0.250 0.250 0.250
Si1 0.000 0.000 0.000
Sn1 0.500 0.500 0.500
```

A relaxed structure of Si2SnSe. Source: Alexandria via LeMat-Bulk, functional GGA-PBE.

Results
As for the distance to the lowest polymorph of the same formula: 141 meV per atom. Its space-group type is Fm-3m, No. 225.

The structure in CIF format:
```
data_Si2SnSe
_chemical_formula_sum 'Si2 Sn1 Se1'
_symmetry_space_group_name_H-M 'P 1'
_symmetry_Int_Tables_number 1
_symmetry_space_group_name_Hall 'P 1'
_cell_length_a 4.815
_cell_length_b 4.815
_cell_length_c 4.815
_cell_angle_alpha 60.00
_cell_angle_beta 60.00
_cell_angle_gamma 60.00
loop_
_atom_site_label
_atom_site_fract_x
_atom_site_fract_y
_atom_site_fract_z
Sn1 0.500 0.500 0.500
Si1 0.750 0.750 0.750
Si2 0.250 0.250 0.250
Se1 0.000 0.000 0.000
```

A relaxed structure of SiSn2Se. Source: Alexandria via LeMat-Bulk, functional GGA-PBE.

Results
As for the distance to the lowest polymorph of the same formula: 0 meV per atom. Its space-group type is I-42d, No. 122.

The structure in CIF format:
```
data_SiSn2Se
_chemical_formula_sum 'Si2 Sn4 Se2'
_symmetry_space_group_name_H-M 'P 1'
_symmetry_Int_Tables_number 1
_symmetry_space_group_name_Hall 'P 1'
_cell_length_a 6.235
_cell_length_b 6.235
_cell_length_c 7.986
_cell_angle_alpha 67.02
_cell_angle_beta 67.02
_cell_angle_gamma 90.00
loop_
_atom_site_label
_atom_site_fract_x
_atom_site_fract_y
_atom_site_fract_z
Sn1 0.875 0.850 0.750
Sn2 0.600 0.125 0.250
Sn3 0.150 0.625 0.250
Sn4 0.375 0.400 0.750
Se1 0.000 0.000 0.000
Se2 0.750 0.250 0.500
Si1 0.500 0.500 0.000
Si2 0.250 0.750 0.500
```

A relaxed structure of Th4SiSnSe2. Source: Alexandria via LeMat-Bulk, functional GGA-PBE.

Results
Its space-group type is P2/m, No. 10.

The structure in CIF format:
```
data_Th4SiSnSe2
_chemical_formula_sum 'Th4 Si1 Sn1 Se2'
_symmetry_space_group_name_H-M 'P 1'
_symmetry_Int_Tables_number 1
_symmetry_space_group_name_Hall 'P 1'
_cell_length_a 4.330
_cell_length_b 7.606
_cell_length_c 7.351
_cell_angle_alpha 109.68
_cell_angle_beta 90.00
_cell_angle_gamma 90.00
loop_
_atom_site_label
_atom_site_fract_x
_atom_site_fract_y
_atom_site_fract_z
Sn1 0.000 0.000 0.000
Th1 0.500 0.731 0.746
Th2 0.000 0.269 0.759
Th3 0.000 0.731 0.241
Th4 0.500 0.269 0.254
Si1 0.500 0.500 0.000
Se1 0.500 0.000 0.500
Se2 0.000 0.500 0.500
```

A relaxed structure of Tm6Si2SnSe3. Source: Alexandria via LeMat-Bulk, functional GGA-PBE.

Results
Its space-group type is C2/m, No. 12.

The structure in CIF format:
```
data_Tm6Si2SnSe3
_chemical_formula_sum 'Tm6 Si2 Sn1 Se3'
_symmetry_space_group_name_H-M 'P 1'
_symmetry_Int_Tables_number 1
_symmetry_space_group_name_Hall 'P 1'
_cell_length_a 4.071
_cell_length_b 8.311
_cell_length_c 9.218
_cell_angle_alpha 103.32
_cell_angle_beta 102.76
_cell_angle_gamma 90.00
loop_
_atom_site_label
_atom_site_fract_x
_atom_site_fract_y
_atom_site_fract_z
Sn1 0.500 0.000 0.000
Tm1 0.005 0.261 0.010
Tm2 0.328 0.426 0.655
Tm3 0.670 0.100 0.341
Tm4 0.330 0.900 0.659
Tm5 0.672 0.574 0.345
Tm6 0.995 0.739 0.990
Si1 0.833 0.666 0.667
Si2 0.167 0.334 0.333
Se1 0.166 0.832 0.331
Se2 0.500 0.500 0.000
Se3 0.834 0.168 0.669
```

A relaxed structure of Y6Si2SnSe3. Source: Alexandria via LeMat-Bulk, functional GGA-PBE.

Results
Its space-group type is C2/m, No. 12.

The structure in CIF format:
```
data_Y6Si2SnSe3
_chemical_formula_sum 'Y6 Si2 Sn1 Se3'
_symmetry_space_group_name_H-M 'P 1'
_symmetry_Int_Tables_number 1
_symmetry_space_group_name_Hall 'P 1'
_cell_length_a 4.133
_cell_length_b 8.429
_cell_length_c 9.355
_cell_angle_alpha 103.45
_cell_angle_beta 102.76
_cell_angle_gamma 90.00
loop_
_atom_site_label
_atom_site_fract_x
_atom_site_fract_y
_atom_site_fract_z
Se1 0.166 0.832 0.331
Se2 0.834 0.168 0.669
Se3 0.500 0.500 0.000
Y1 0.670 0.099 0.341
Y2 0.005 0.261 0.009
Y3 0.995 0.739 0.991
Y4 0.330 0.901 0.659
Y5 0.672 0.575 0.343
Y6 0.328 0.425 0.657
Si1 0.167 0.334 0.334
Si2 0.833 0.666 0.666
Sn1 0.500 0.000 0.000
```

A relaxed structure of SrSiSe2. Source: Alexandria via LeMat-Bulk, functional GGA-PBE.

Results
Its space-group type is R-3m, No. 166.

The structure in CIF format:
```
data_SrSiSe2
_chemical_formula_sum 'Sr1 Si1 Se2'
_symmetry_space_group_name_H-M 'P 1'
_symmetry_Int_Tables_number 1
_symmetry_space_group_name_Hall 'P 1'
_cell_length_a 7.337
_cell_length_b 7.337
_cell_length_c 7.337
_cell_angle_alpha 33.08
_cell_angle_beta 33.08
_cell_angle_gamma 33.08
loop_
_atom_site_label
_atom_site_fract_x
_atom_site_fract_y
_atom_site_fract_z
Se1 0.510 0.510 0.510
Se2 0.990 0.990 0.990
Sr1 0.750 0.750 0.750
Si1 0.250 0.250 0.250
```

A relaxed structure of SrSiSe. Source: Alexandria via LeMat-Bulk, functional GGA-PBE.

Results
As for the distance to the lowest polymorph of the same formula: 500 meV per atom. Its space-group type is F-43m, No. 216.

The structure in CIF format:
```
data_SrSiSe
_chemical_formula_sum 'Sr1 Si1 Se1'
_symmetry_space_group_name_H-M 'P 1'
_symmetry_Int_Tables_number 1
_symmetry_space_group_name_Hall 'P 1'
_cell_length_a 5.079
_cell_length_b 5.079
_cell_length_c 5.079
_cell_angle_alpha 60.00
_cell_angle_beta 60.00
_cell_angle_gamma 60.00
loop_
_atom_site_label
_atom_site_fract_x
_atom_site_fract_y
_atom_site_fract_z
Si1 0.500 0.500 0.500
Se1 0.000 0.000 0.000
Sr1 0.250 0.250 0.250
```

A relaxed structure of SrSiSe2. Source: Alexandria via LeMat-Bulk, functional GGA-PBE.

Results
Its space-group type is Immm, No. 71.

The structure in CIF format:
```
data_SrSiSe2
_chemical_formula_sum 'Sr1 Si1 Se2'
_symmetry_space_group_name_H-M 'P 1'
_symmetry_Int_Tables_number 1
_symmetry_space_group_name_Hall 'P 1'
_cell_length_a 5.489
_cell_length_b 5.489
_cell_length_c 5.489
_cell_angle_alpha 136.61
_cell_angle_beta 114.71
_cell_angle_gamma 81.68
loop_
_atom_site_label
_atom_site_fract_x
_atom_site_fract_y
_atom_site_fract_z
Se1 0.949 0.949 0.000
Se2 0.551 0.551 0.000
Sr1 0.250 0.750 0.500
Si1 0.750 0.250 0.500
```

A relaxed structure of Sr2SiSe4. Source: Alexandria via LeMat-Bulk, functional GGA-PBE.

Results
Its space-group type is P2_1/m, No. 11.

The structure in CIF format:
```
data_Sr2SiSe4
_chemical_formula_sum 'Sr4 Si2 Se8'
_symmetry_space_group_name_H-M 'P 1'
_symmetry_Int_Tables_number 1
_symmetry_space_group_name_Hall 'P 1'
_cell_length_a 6.989
_cell_length_b 7.025
_cell_length_c 8.586
_cell_angle_alpha 90.00
_cell_angle_beta 107.91
_cell_angle_gamma 90.00
loop_
_atom_site_label
_atom_site_fract_x
_atom_site_fract_y
_atom_site_fract_z
Se1 0.494 0.498 0.259
Se2 0.913 0.250 0.625
Se3 0.894 0.250 0.074
Se4 0.506 0.502 0.741
Se5 0.087 0.750 0.375
Se6 0.494 0.002 0.259
Se7 0.106 0.750 0.926
Se8 0.506 0.998 0.741
Si1 0.724 0.250 0.801
Si2 0.276 0.750 0.199
Sr1 0.760 0.750 0.566
Sr2 0.727 0.750 0.054
Sr3 0.240 0.250 0.434
Sr4 0.273 0.250 0.946
```

A relaxed structure of SrSiSe2. Source: Alexandria via LeMat-Bulk, functional GGA-PBE.

Results
Its space-group type is P2/m, No. 10.

The structure in CIF format:
```
data_SrSiSe2
_chemical_formula_sum 'Sr1 Si1 Se2'
_symmetry_space_group_name_H-M 'P 1'
_symmetry_Int_Tables_number 1
_symmetry_space_group_name_Hall 'P 1'
_cell_length_a 3.702
_cell_length_b 4.002
_cell_length_c 7.129
_cell_angle_alpha 89.82
_cell_angle_beta 90.00
_cell_angle_gamma 90.00
loop_
_atom_site_label
_atom_site_fract_x
_atom_site_fract_y
_atom_site_fract_z
Si1 0.500 0.250 0.250
Se1 0.000 0.251 0.509
Se2 0.000 0.249 0.991
Sr1 0.500 0.750 0.750
```

A relaxed structure of SrSiSe2. Source: Alexandria via LeMat-Bulk, functional GGA-PBE.

Results
Its space-group type is P4mm, No. 99.

The structure in CIF format:
```
data_SrSiSe2
_chemical_formula_sum 'Sr1 Si1 Se2'
_symmetry_space_group_name_H-M 'P 1'
_symmetry_Int_Tables_number 1
_symmetry_space_group_name_Hall 'P 1'
_cell_length_a 4.229
_cell_length_b 4.229
_cell_length_c 6.169
_cell_angle_alpha 90.00
_cell_angle_beta 90.00
_cell_angle_gamma 89.99
loop_
_atom_site_label
_atom_site_fract_x
_atom_site_fract_y
_atom_site_fract_z
Se1 0.500 0.500 0.366
Se2 0.000 0.000 0.937
Si1 0.000 0.000 0.330
Sr1 0.500 0.500 0.867
```

A relaxed structure of SrSiSe. Source: Alexandria via LeMat-Bulk, functional GGA-PBE.

Results
As for the distance to the lowest polymorph of the same formula: 15 meV per atom. Its space-group type is P3m1, No. 156.

The structure in CIF format:
```
data_SrSiSe
_chemical_formula_sum 'Sr1 Si1 Se1'
_symmetry_space_group_name_H-M 'P 1'
_symmetry_Int_Tables_number 1
_symmetry_space_group_name_Hall 'P 1'
_cell_length_a 4.573
_cell_length_b 4.573
_cell_length_c 4.344
_cell_angle_alpha 90.00
_cell_angle_beta 90.00
_cell_angle_gamma 120.00
loop_
_atom_site_label
_atom_site_fract_x
_atom_site_fract_y
_atom_site_fract_z
Si1 0.333 0.667 0.206
Sr1 0.667 0.333 0.669
Se1 0.000 0.000 0.125
```

A relaxed structure of SrSiSe2. Source: Alexandria via LeMat-Bulk, functional GGA-PBE.

Results
Its space-group type is Imm2, No. 44.

The structure in CIF format:
```
data_SrSiSe2
_chemical_formula_sum 'Sr1 Si1 Se2'
_symmetry_space_group_name_H-M 'P 1'
_symmetry_Int_Tables_number 1
_symmetry_space_group_name_Hall 'P 1'
_cell_length_a 7.322
_cell_length_b 7.322
_cell_length_c 7.322
_cell_angle_alpha 149.43
_cell_angle_beta 148.33
_cell_angle_gamma 44.59
loop_
_atom_site_label
_atom_site_fract_x
_atom_site_fract_y
_atom_site_fract_z
Se1 0.973 0.973 0.000
Se2 0.692 0.192 0.500
Si1 0.541 0.541 0.000
Sr1 0.294 0.794 0.500
```

A relaxed structure of SrSiSe2. Source: Alexandria via LeMat-Bulk, functional GGA-PBE.

Results
Its space-group type is Cm, No. 8.

The structure in CIF format:
```
data_SrSiSe2
_chemical_formula_sum 'Sr1 Si1 Se2'
_symmetry_space_group_name_H-M 'P 1'
_symmetry_Int_Tables_number 1
_symmetry_space_group_name_Hall 'P 1'
_cell_length_a 6.149
_cell_length_b 6.149
_cell_length_c 4.454
_cell_angle_alpha 91.54
_cell_angle_beta 91.54
_cell_angle_gamma 38.20
loop_
_atom_site_label
_atom_site_fract_x
_atom_site_fract_y
_atom_site_fract_z
Sr1 0.280 0.280 0.143
Se1 0.711 0.711 0.635
Se2 0.000 0.000 0.046
Si1 0.509 0.509 0.676
```

A relaxed structure of SrSiSe2. Source: Alexandria via LeMat-Bulk, functional GGA-PBE.

Results
Its space-group type is R-3m, No. 166.

The structure in CIF format:
```
data_SrSiSe2
_chemical_formula_sum 'Sr1 Si1 Se2'
_symmetry_space_group_name_H-M 'P 1'
_symmetry_Int_Tables_number 1
_symmetry_space_group_name_Hall 'P 1'
_cell_length_a 8.405
_cell_length_b 8.405
_cell_length_c 8.405
_cell_angle_alpha 32.25
_cell_angle_beta 32.25
_cell_angle_gamma 32.25
loop_
_atom_site_label
_atom_site_fract_x
_atom_site_fract_y
_atom_site_fract_z
Se1 0.100 0.100 0.100
Se2 0.900 0.900 0.900
Si1 0.000 0.000 0.000
Sr1 0.500 0.500 0.500
```

A relaxed structure of SrSiSe. Source: Alexandria via LeMat-Bulk, functional GGA-PBE.

Results
As for the distance to the lowest polymorph of the same formula: 371 meV per atom. Its space-group type is F-43m, No. 216.

The structure in CIF format:
```
data_SrSiSe
_chemical_formula_sum 'Sr1 Si1 Se1'
_symmetry_space_group_name_H-M 'P 1'
_symmetry_Int_Tables_number 1
_symmetry_space_group_name_Hall 'P 1'
_cell_length_a 4.983
_cell_length_b 4.983
_cell_length_c 4.983
_cell_angle_alpha 60.00
_cell_angle_beta 60.00
_cell_angle_gamma 60.00
loop_
_atom_site_label
_atom_site_fract_x
_atom_site_fract_y
_atom_site_fract_z
Se1 0.500 0.500 0.500
Sr1 0.000 0.000 0.000
Si1 0.250 0.250 0.250
```

A relaxed structure of SrSiSe2. Source: Alexandria via LeMat-Bulk, functional GGA-PBE.

Results
Its space-group type is F-43m, No. 216.

The structure in CIF format:
```
data_SrSiSe2
_chemical_formula_sum 'Sr1 Si1 Se2'
_symmetry_space_group_name_H-M 'P 1'
_symmetry_Int_Tables_number 1
_symmetry_space_group_name_Hall 'P 1'
_cell_length_a 5.179
_cell_length_b 5.179
_cell_length_c 5.179
_cell_angle_alpha 60.00
_cell_angle_beta 60.00
_cell_angle_gamma 60.00
loop_
_atom_site_label
_atom_site_fract_x
_atom_site_fract_y
_atom_site_fract_z
Se1 0.000 0.000 0.000
Se2 0.250 0.250 0.250
Sr1 0.750 0.750 0.750
Si1 0.500 0.500 0.500
```

A relaxed structure of SrSi2Se4. Source: Alexandria via LeMat-Bulk, functional GGA-PBE.

Results
Its space-group type is I4/m, No. 87.

The structure in CIF format:
```
data_SrSi2Se4
_chemical_formula_sum 'Sr1 Si2 Se4'
_symmetry_space_group_name_H-M 'P 1'
_symmetry_Int_Tables_number 1
_symmetry_space_group_name_Hall 'P 1'
_cell_length_a 6.410
_cell_length_b 6.410
_cell_length_c 6.410
_cell_angle_alpha 103.61
_cell_angle_beta 103.61
_cell_angle_gamma 121.96
loop_
_atom_site_label
_atom_site_fract_x
_atom_site_fract_y
_atom_site_fract_z
Sr1 0.500 0.500 0.000
Se1 0.850 0.314 0.164
Se2 0.686 0.850 0.537
Se3 0.150 0.686 0.836
Se4 0.314 0.150 0.463
Si1 0.750 0.250 0.500
Si2 0.250 0.750 0.500
```

| no. | E_form (uncorrected) (eV/atom) |
| --- | --- |
| 1 | 0.01 |
| 2 | 0.19 |
| 3 | 0.53 |
| 4 | 0.18 |
| 5 | -1.08 |
| 6 | -1.22 |
| 7 | -1.29 |
| 8 | -0.86 |
| 9 | -0.03 |
| 10 | -0.65 |
| 11 | -1.39 |
| 12 | -0.72 |
| 13 | -0.91 |
| 14 | -0.51 |
| 15 | -0.70 |
| 16 | -1.01 |
| 17 | -0.50 |
| 18 | -0.15 |
| 19 | -0.09 |
| 20 | -0.59 |